# 1
Entry from the Alexandria database: a relaxed LiCaGa2Pd crystal (PBE-GGA).

Summary:
DFT formation energy (meV per atom): -517
Magnetic moment (μB per formula unit): 0.0
Polymorph energy (0 for the lowest one) (eV/f.u.): 0.000
Density of states at the Fermi level (states/eV per atom): 0.52

a b c (Å): 6.285 6.285 6.285
angles (deg): 141.11 141.11 56.17
Fractional positions:
Li  0.000  0.000  0.000
Ca  0.750  0.250  0.500
Ga  0.134  0.634  0.500
Ga  0.366  0.866  0.500
Pd  0.500  0.500  0.000

# 2
Entry from the Alexandria database: a relaxed SrCrMoPd2 crystal (PBE-GGA).

Summary:
DFT formation energy (meV per atom): 1920
Magnetic moment (μB per formula unit): 1.3
Density of states at the Fermi level (states/eV per atom): 0.70

a b c (Å): 5.037 5.037 5.272
angles (deg): 90.00 90.00 90.00
Fractional positions:
Sr  0.000  0.000  0.000
Cr  0.500  0.500  0.500
Mo  0.000  0.000  0.500
Pd  0.000  0.500  0.000
Pd  0.500  0.000  0.000